No. 1
This record from Alexandria describes a relaxed structure of Rb2CeTe4Pb. The functional is PBE.

Cell: 8.1651 4.6988 8.8573 Å, 90.00 107.45 90.00°
Element x y z (fractional)
Rb 0.0000 0.0000 0.0000
Rb 0.5000 0.5000 0.0000
Ce 0.0000 0.5000 0.5000
Te 0.2193 0.0000 0.6986
Te 0.2471 0.5000 0.2973
Te 0.7529 0.5000 0.7027
Te 0.7807 0.0000 0.3014
Pb 0.5000 0.0000 0.5000

## Properties
* SG: No. 10
* density of states at the Fermi level: 0.000 states/eV/atom
* uncorrected formation energy: -1.01 eV per atom
* density: 5.27 Mg/m³

=====

No. 2
This record from Alexandria describes a relaxed structure of CsK2IrF6. The functional is PBE.

Cell: 6.7436 6.7436 6.7436 Å, 60.00 60.00 60.00°
Element x y z (fractional)
Cs 0.0000 0.0000 0.0000
K 0.2500 0.2500 0.2500
K 0.7500 0.7500 0.7500
Ir 0.5000 0.5000 0.5000
F 0.2869 0.2869 0.7131
F 0.2869 0.7131 0.2869
F 0.2869 0.7131 0.7131
F 0.7131 0.2869 0.2869
F 0.7131 0.2869 0.7131
F 0.7131 0.7131 0.2869

## Properties
* energy above the lowest structure with this stoichiometry: 0.078 eV/atom
* SG: No. 225
* density of states at the Fermi level: 0.000 states/eV/atom
* uncorrected formation energy: -2.17 eV per atom
* density: 3.96 Mg/m³

=====

No. 3
This record from Alexandria describes a relaxed structure of Rb2TbF4. The functional is PBE.

Cell: 4.4123 4.4123 21.2108 Å, 90.00 90.00 90.00°
Element x y z (fractional)
Rb 0.0000 0.0000 0.1515
Rb 0.0000 0.0000 0.8485
Rb 0.5000 0.5000 0.3485
Rb 0.5000 0.5000 0.6515
Tb 0.0000 0.0000 0.5000
Tb 0.5000 0.5000 0.0000
F 0.0000 0.0000 0.3975
F 0.0000 0.0000 0.6025
F 0.0000 0.5000 0.0000
F 0.0000 0.5000 0.5000
F 0.5000 0.0000 0.0000
F 0.5000 0.0000 0.5000
F 0.5000 0.5000 0.1025
F 0.5000 0.5000 0.8975

## Properties
* SG: No. 139
* density of states at the Fermi level: 0.146 states/eV/atom
* uncorrected formation energy: -3.10 eV per atom
* density: 3.26 Mg/m³